No. 1
Compound: NpZn2Ga2
Source: Alexandria
Functional: GGA-PBE
Structure: relaxed

The structure in extended XYZ format:
```
10
Lattice="4.184 0.000 0.000 0.000 4.184 0.000 0.000 0.000 10.600" Properties=species:S:1:pos:R:3 pbc="T T T"
Np 1.046 1.046 2.654
Np 3.138 3.138 7.946
Zn 1.046 1.046 6.743
Zn 1.046 3.138 0.000
Zn 3.138 1.046 0.000
Zn 3.138 3.138 3.857
Ga 1.046 1.046 9.146
Ga 1.046 3.138 5.300
Ga 3.138 1.046 5.300
Ga 3.138 3.138 1.454
```

Values from the calculation:
Space-group type: No. 129

No. 2
Compound: AcPm2Nd2Tm2
Source: Alexandria
Functional: GGA-PBE
Structure: relaxed

The structure in extended XYZ format:
```
7
Lattice="5.786 -2.597 0.000 5.786 2.597 0.000 -1.170 0.000 8.092" Properties=species:S:1:pos:R:3 pbc="T T T"
Ac 0.000 0.000 0.000
Pm 2.314 0.000 6.862
Pm 8.087 0.000 1.230
Nd 4.582 0.000 2.365
Nd 5.820 0.000 5.728
Tm 1.144 0.000 3.515
Tm 9.258 0.000 4.577
```

Values from the calculation:
Space-group type: No. 12

No. 3
Compound: Zn4Ga
Source: Alexandria
Functional: GGA-PBE
Structure: relaxed

The structure in extended XYZ format:
```
5
Lattice="1.417 0.818 11.324 -1.417 0.818 11.324 0.000 -1.636 11.324" Properties=species:S:1:pos:R:3 pbc="T T T"
Zn 0.000 0.000 3.347
Zn 0.000 0.000 10.201
Zn 0.000 0.000 23.772
Zn 0.000 0.000 30.626
Ga 0.000 0.000 16.986
```

Values from the calculation:
Energy above the lowest structure with this stoichiometry, meV/atom: 0
Space-group type: No. 166

No. 4
Compound: Pm2Y6Zr
Source: Alexandria
Functional: GGA-PBE
Structure: relaxed

The structure in extended XYZ format:
```
18
Lattice="6.485 0.000 0.000 -2.676 8.027 0.000 -1.411 -3.178 11.070" Properties=species:S:1:pos:R:3 pbc="T T T"
Pm 1.032 -0.190 2.044
Pm -1.870 3.755 10.112
Pm 4.268 1.094 0.958
Pm 1.366 5.040 9.026
Y -1.020 1.301 4.400
Y -0.874 4.297 1.851
Y -0.148 -0.724 10.757
Y -0.070 1.625 7.934
Y 1.160 -1.669 7.710
Y 0.150 4.225 5.587
Y 2.248 0.624 5.483
Y 1.238 6.518 3.360
Y 2.468 3.224 3.136
Y 2.546 5.573 0.313
Y 3.272 0.553 9.220
Y 3.418 3.549 6.670
Zr -2.293 6.074 4.576
Zr 4.691 -1.224 6.495
```

Values from the calculation:
Space-group type: No. 2

No. 5
Compound: Ac4TlSn
Source: Alexandria
Functional: GGA-PBE
Structure: relaxed

The structure in extended XYZ format:
```
12
Lattice="8.168 0.000 0.000 0.000 8.168 0.000 0.000 0.000 7.138" Properties=species:S:1:pos:R:3 pbc="T T T"
Ac 1.335 2.713 0.000
Ac 1.335 5.455 3.569
Ac 2.713 1.335 3.569
Ac 2.713 6.833 0.000
Ac 5.455 1.335 0.000
Ac 5.455 6.833 3.569
Ac 6.833 2.713 3.569
Ac 6.833 5.455 0.000
Tl 4.084 4.084 1.785
Tl 4.084 4.084 5.354
Sn 0.000 0.000 1.785
Sn 0.000 0.000 5.354
```

Values from the calculation:
Energy above the lowest structure with this stoichiometry, meV/atom: 0
Space-group type: No. 124

No. 6
Compound: LaCr2S
Source: Alexandria
Functional: GGA-PBE
Structure: relaxed

The structure in extended XYZ format:
```
8
Lattice="-2.229 2.229 8.168 2.229 -2.229 8.168 2.229 2.229 -8.168" Properties=species:S:1:pos:R:3 pbc="T T T"
La 2.229 1.115 2.042
La 0.000 1.115 6.126
Cr 0.000 0.000 0.000
Cr 1.115 1.115 -4.084
Cr 1.115 -1.115 4.084
Cr 0.000 2.229 0.000
S 2.229 -1.115 6.126
S 0.000 3.344 2.042
```

Values from the calculation:
E_form (uncorrected), eV/atom: -0.02
Space-group type: No. 141

No. 7
Compound: YTm3Ni
Source: Alexandria
Functional: GGA-PBE
Structure: relaxed

The structure in extended XYZ format:
```
10
Lattice="3.481 0.000 0.000 0.005 9.198 0.000 1.726 3.315 9.204" Properties=species:S:1:pos:R:3 pbc="T T T"
Y 0.863 4.468 4.475
Y 4.349 8.045 4.728
Tm 0.875 9.547 1.472
Tm 0.874 3.661 1.149
Tm 2.602 5.994 7.063
Tm 2.610 6.520 2.141
Tm 4.338 8.852 8.054
Tm 4.336 2.966 7.732
Ni 0.872 7.260 0.043
Ni 4.339 5.254 9.161
```

Values from the calculation:
Energy above the lowest structure with this stoichiometry, meV/atom: 107
Space-group type: No. 2

No. 8
Compound: La2ErCdTe5
Source: Alexandria
Functional: GGA-PBE
Structure: relaxed

The structure in extended XYZ format:
```
18
Lattice="2.207 -9.652 0.000 2.207 9.652 0.000 0.000 0.000 13.552" Properties=species:S:1:pos:R:3 pbc="T T T"
La 2.207 7.411 6.776
La 2.207 7.121 1.694
La 2.207 -7.121 8.471
La 2.207 -7.411 0.000
Er 2.207 5.776 11.232
Er 2.207 -5.776 4.456
Cd 2.207 1.134 3.673
Cd 2.207 -1.134 10.449
Te 2.207 8.733 12.111
Te 2.207 4.112 6.570
Te 2.207 3.735 2.248
Te 2.207 2.733 11.074
Te 2.207 0.066 7.977
Te 2.207 -0.066 1.201
Te 2.207 -2.733 4.298
Te 2.207 -3.735 9.025
Te 2.207 -4.112 13.346
Te 2.207 -8.733 5.335
```

Values from the calculation:
E_form (uncorrected), eV/atom: -1.25
Space-group type: No. 36

The records above give, respectively, density of states at the Fermi level values of 1.96, 1.55, 0.13, 1.51, 1.37, 1.07, 1.35, 0.35 states/eV/atom.
The records above give, respectively, total DFT energy (no corrections) values of -43.95, -31.83, -8.02, -112.26, -49.50, -56.75, -51.53, -84.51 eV per cell.